First-principles (GGA+U) data for a relaxed HfVO2F crystal, as listed in Alexandria.

Properties
- space group = No. 123
- energy (eV/cell) = -39.75
- magnetic moment (Bohr magnetons per cell) = 3.9
- N(E_F) (states/eV/atom) = 0.6945

a b c (Å): 4.1095 4.1095 4.1582
angles (deg): 90.00 90.00 90.00
Closest atoms and distances in Å follow each position.
Sites, in units of the cell vectors:
V (0.5000, 0.5000, 0.5000)  4 F 2.91, 8 O 2.92
Hf (0.0000, 0.0000, 0.0000)  4 O 2.05, 2 F 2.08
O (0.0000, 0.5000, 0.0000)  2 Hf 2.05
O (0.5000, 0.0000, 0.0000)  2 Hf 2.05
F (0.0000, 0.0000, 0.5000)  2 Hf 2.08